# Li4TaRe | Alexandria via LeMat-Bulk | PBE-GGA | relaxed
data_Li4TaRe
_chemical_formula_sum 'Li4 Ta1 Re1'
_space_group_name_H-M_alt 'P 1'
_space_group_IT_number 1
_cell_length_a 4.826
_cell_length_b 4.826
_cell_length_c 4.826
_cell_angle_alpha 60.00
_cell_angle_beta 60.00
_cell_angle_gamma 60.00
loop_
_space_group_symop_operation_xyz
'x,y,z'
loop_
_atom_site_label
_atom_site_type_symbol
_atom_site_fract_x
_atom_site_fract_y
_atom_site_fract_z
_atom_site_occupancy
Li1 Li 0.123 0.123 0.123 1
Li2 Li 0.123 0.123 0.630 1
Li3 Li 0.123 0.630 0.123 1
Li4 Li 0.630 0.123 0.123 1
Ta1 Ta 0.500 0.500 0.500 1
Re1 Re 0.750 0.750 0.750 1
# **Energy**: -29.29 eV for the cell shown
# **SG**: F-43m (216)
# **Calculated volume**: 13.24 A^3/atom
# **Magnetization**: 0.000 μB/atom
# **Calculated density**: 8.25 g/cm3

***

# Li2TaRe | Alexandria via LeMat-Bulk | PBE-GGA | relaxed
data_Li2TaRe
_chemical_formula_sum 'Li2 Ta1 Re1'
_space_group_name_H-M_alt 'P 1'
_space_group_IT_number 1
_cell_length_a 10.176
_cell_length_b 10.176
_cell_length_c 10.176
_cell_angle_alpha 15.37
_cell_angle_beta 15.37
_cell_angle_gamma 15.37
loop_
_space_group_symop_operation_xyz
'x,y,z'
loop_
_atom_site_label
_atom_site_type_symbol
_atom_site_fract_x
_atom_site_fract_y
_atom_site_fract_z
_atom_site_occupancy
Li1 Li 0.244 0.244 0.244 1
Li2 Li 0.756 0.756 0.756 1
Ta1 Ta 0.000 0.000 0.000 1
Re1 Re 0.500 0.500 0.500 1
# **SG**: R-3m (166)
# **Energy relative to the lowest polymorph listed for this composition**: 0.2503 eV per atom
# **Calculated volume**: 16.13 A^3/atom
# **Magnetization**: 0.074 μB/atom
# **Calculated density**: 9.81 g/cm3